Entry a
A crystal of MgAsW2 relaxed with PBEsol. Source: Alexandria via LeMat-Bulk, functional SCAN.

Structure (POSCAR):
```
MgAsW2
1.0
3.221 0.000 0.000
0.000 3.221 0.000
0.000 0.000 6.314
W Mg As
2 1 1
Direct
0.000 0.000 0.025 W
0.500 0.500 0.252 W
0.500 0.500 0.750 Mg
0.000 0.000 0.474 As
```

## Properties
**V**: 16.38 Å³/atom
**Space group**: No. 99
**DOS(E_F)**: 2.16 states/eV/cell



Entry b
A crystal of MgAsW2 relaxed with PBEsol. Source: Alexandria via LeMat-Bulk, functional SCAN.

Structure (POSCAR):
```
MgAsW2
1.0
2.741 0.000 0.000
0.000 4.423 0.000
0.000 0.000 5.366
W Mg As
2 1 1
Direct
0.000 0.000 0.253 W
0.000 0.000 0.747 W
0.500 0.500 0.500 Mg
0.500 0.500 0.000 As
```

## Properties
**V**: 16.26 Å³/atom
**Space group**: No. 47
**DOS(E_F)**: 2.33 states/eV/cell



The least stable of them is entry b.



Entry a
A crystal of MgAsW2 relaxed with PBEsol. Source: Alexandria via LeMat-Bulk, functional SCAN.

Structure (POSCAR):
```
MgAsW2
1.0
-1.739 -2.281 -1.300
3.649 -1.450 -2.335
0.109 -0.857 5.171
Mg As W
1 1 2
Direct
0.500 0.000 0.000 Mg
0.000 0.500 0.000 As
0.269 0.269 0.537 W
0.731 0.731 0.463 W
```

## Properties
**V**: 16.00 Å³/atom
**Space group**: No. 71
**DOS(E_F)**: 2.57 states/eV/cell



Entry b
A crystal of MgAsW2 relaxed with PBEsol. Source: Alexandria via LeMat-Bulk, functional SCAN.

Structure (POSCAR):
```
MgAsW2
1.0
2.785 0.000 0.001
0.000 4.547 0.000
-0.314 0.000 5.115
W As Mg
2 1 1
Direct
0.648 0.000 0.744 W
0.352 0.000 0.256 W
0.500 0.500 0.000 As
0.000 0.500 0.500 Mg
```

## Properties
**V**: 16.19 Å³/atom
**Space group**: No. 10
**DOS(E_F)**: 2.50 states/eV/cell



The least stable of them is entry b.



Entry a
A crystal of Y2MgAs relaxed with PBEsol. Source: Alexandria via LeMat-Bulk, functional SCAN.

Structure (POSCAR):
```
Y2MgAs
1.0
4.096 0.000 0.000
0.000 4.195 0.000
0.000 -2.097 5.596
As Mg Y
1 1 2
Direct
0.000 0.707 0.414 As
0.500 0.549 0.098 Mg
0.500 0.267 0.534 Y
0.000 0.975 0.949 Y
```

## Properties
**V**: 24.03 Å³/atom
**Space group**: No. 38
**DOS(E_F)**: 2.42 states/eV/cell



Entry b
A crystal of Y2MgAs relaxed with PBEsol. Source: Alexandria via LeMat-Bulk, functional SCAN.

Structure (POSCAR):
```
Y2MgAs
1.0
3.741 0.000 0.000
0.000 3.741 0.035
0.000 -0.064 6.639
As Y Mg
1 2 1
Direct
0.500 0.500 0.500 As
0.000 0.000 0.732 Y
0.000 0.000 0.268 Y
0.500 0.500 0.000 Mg
```

## Properties
**V**: 23.23 Å³/atom
**Space group**: No. 123
**DOS(E_F)**: 1.95 states/eV/cell



Entry c
A crystal of Y2MgAs relaxed with PBEsol. Source: Alexandria via LeMat-Bulk, functional SCAN.

Structure (POSCAR):
```
Y2MgAs
1.0
-1.184 2.826 -2.178
-3.966 0.322 2.573
4.965 1.929 3.049
As Y Mg
1 2 1
Direct
0.510 0.010 0.021 As
0.000 0.500 0.001 Y
0.779 0.779 0.557 Y
0.211 0.211 0.421 Mg
```

## Properties
**V**: 23.78 Å³/atom
**Space group**: No. 44
**DOS(E_F)**: 3.23 states/eV/cell



The least stable of them is entry c.